The following is a DFT calculation (GGA-PBEsol) of a relaxed MnIn2Cu crystal.

Values from the calculation:
Theoretical density = 8182 kg/m³
E_tot = -19.13 eV for the cell shown

```
MnIn2Cu
1.0
3.036 0.000 0.000
0.000 3.036 0.000
0.000 0.000 7.665
Mn In Cu
1 2 1
Direct
0.000 0.000 0.000
0.000 0.000 0.411
0.500 0.500 0.761
0.500 0.500 0.180
```

***

The following is a DFT calculation (GGA-PBEsol) of a relaxed MnIn2Cu crystal.

Values from the calculation:
Theoretical density = 8379 kg/m³
E_tot = -18.84 eV for the cell shown

```
MnIn2Cu
1.0
1.517 0.876 8.659
-1.517 0.876 8.659
0.000 -1.751 8.659
Mn In Cu
1 2 1
Direct
0.000 0.000 0.000
0.248 0.248 0.248
0.752 0.752 0.752
0.500 0.500 0.500
```

***

The following is a DFT calculation (GGA-PBEsol) of a relaxed MnInCu2 crystal.

Values from the calculation:
Theoretical density = 8316 kg/m³
E_tot = -19.91 eV for the cell shown

```
MnInCu2
1.0
1.441 0.832 8.236
-1.441 0.832 8.236
0.000 -1.664 8.236
Mn In Cu
1 1 2
Direct
0.000 0.000 0.000
0.240 0.240 0.240
0.484 0.484 0.484
0.743 0.743 0.743
```

***

The following is a DFT calculation (GGA-PBEsol) of a relaxed MnInCu crystal.

Values from the calculation:
Theoretical density = 8489 kg/m³
E_tot = -16.21 eV for the cell shown

```
MnInCu
1.0
-1.434 1.939 4.103
1.434 -1.939 4.103
1.434 1.939 -4.103
Mn In Cu
1 1 1
Direct
0.000 0.000 0.000
0.329 0.329 0.000
0.659 0.659 0.000
```

***

The following is a DFT calculation (GGA-PBEsol) of a relaxed Mn2InCu4Sn crystal.

Values from the calculation:
Theoretical density = 8747 kg/m³
E_tot = -43.20 eV for the cell shown

```
Mn2InCu4Sn
1.0
2.157 1.246 7.037
-2.157 1.246 7.037
0.000 -2.491 7.037
Mn In Cu Sn
2 1 4 1
Direct
0.249 0.249 0.249
0.751 0.751 0.751
0.500 0.500 0.500
0.125 0.125 0.125
0.375 0.375 0.375
0.625 0.625 0.625
0.875 0.875 0.875
0.000 0.000 0.000
```

***

The following is a DFT calculation (GGA-PBEsol) of a relaxed InCuMo2 crystal.

Values from the calculation:
Theoretical density = 9963 kg/m³
E_tot = -29.80 eV for the cell shown

```
InCuMo2
1.0
-1.873 1.873 4.397
1.873 -1.873 4.397
1.873 1.873 -4.397
In Cu Mo
1 1 2
Direct
0.000 0.000 0.000
0.500 0.500 0.000
0.250 0.750 0.500
0.750 0.250 0.500
```

***

The following is a DFT calculation (GGA-PBEsol) of a relaxed InCu2Mo crystal.

Values from the calculation:
Theoretical density = 9383 kg/m³
E_tot = -21.92 eV for the cell shown

```
InCu2Mo
1.0
1.393 0.804 8.898
-1.393 0.804 8.898
0.000 -1.608 8.898
In Cu Mo
1 2 1
Direct
0.000 0.000 0.000
0.247 0.247 0.247
0.753 0.753 0.753
0.500 0.500 0.500
```

***

The following is a DFT calculation (GGA-PBEsol) of a relaxed InCuReN2 crystal.

Values from the calculation:
Theoretical density = 8752 kg/m³
E_tot = -35.46 eV for the cell shown

```
InCuReN2
1.0
3.829 0.000 0.000
0.000 3.829 0.000
0.000 0.000 5.082
In Cu Re N
1 1 1 2
Direct
0.000 0.000 0.000
0.500 0.500 0.000
0.500 0.500 0.500
0.000 0.500 0.500
0.500 0.000 0.500
```

***

The following is a DFT calculation (GGA-PBEsol) of a relaxed Nb3InCu crystal.

Values from the calculation:
Theoretical density = 6243 kg/m³
E_tot = -28.78 eV for the cell shown

```
Nb3InCu
1.0
4.954 0.000 0.000
0.000 4.954 0.000
0.000 0.000 4.954
Nb In Cu
3 1 1
Direct
0.000 0.000 0.500
0.000 0.500 0.000
0.500 0.000 0.000
0.000 0.000 0.000
0.500 0.500 0.500
```

***

The following is a DFT calculation (GGA-PBEsol) of a relaxed NbInCu2Tc crystal.

Values from the calculation:
Theoretical density = 7203 kg/m³
E_tot = -28.36 eV for the cell shown

```
NbInCu2Tc
1.0
4.641 0.000 0.000
0.000 4.641 0.000
0.000 0.000 4.633
Nb In Cu Tc
1 1 2 1
Direct
0.000 0.000 0.000
0.500 0.500 0.000
0.000 0.500 0.500
0.500 0.000 0.500
0.000 0.000 0.500
```

***

The following is a DFT calculation (GGA-PBEsol) of a relaxed NdInCu2 crystal.

Values from the calculation:
Theoretical density = 8673 kg/m³
E_tot = -18.03 eV for the cell shown

```
NdInCu2
1.0
0.000 3.331 3.331
3.331 0.000 3.331
3.331 3.331 0.000
Nd In Cu
1 1 2
Direct
0.000 0.000 0.000
0.500 0.500 0.500
0.250 0.250 0.250
0.750 0.750 0.750
```

***

The following is a DFT calculation (GGA-PBEsol) of a relaxed NdInCu4 crystal.

Values from the calculation:
Theoretical density = 9064 kg/m³
E_tot = -26.93 eV for the cell shown

```
NdInCu4
1.0
0.000 3.609 3.609
3.609 0.000 3.609
3.609 3.609 0.000
Nd In Cu
1 1 4
Direct
0.000 0.000 0.000
0.250 0.250 0.250
0.128 0.624 0.624
0.624 0.128 0.624
0.624 0.624 0.128
0.624 0.624 0.624
```

***

The following is a DFT calculation (GGA-PBEsol) of a relaxed NdIn6Cu6 crystal.

Values from the calculation:
Theoretical density = 8984 kg/m³
E_tot = -51.45 eV for the cell shown

```
NdIn6Cu6
1.0
-2.675 4.558 4.601
2.675 -4.558 4.601
2.675 4.558 -4.601
Nd In Cu
1 6 6
Direct
0.000 0.000 0.000
0.186 0.686 0.500
0.338 0.000 0.338
0.344 0.344 0.000
0.656 0.656 0.000
0.662 0.000 0.662
0.814 0.314 0.500
0.000 0.000 0.500
0.000 0.500 0.000
0.235 0.500 0.735
0.500 0.000 0.000
0.500 0.500 0.500
0.765 0.500 0.265
```

***

The following is a DFT calculation (GGA-PBEsol) of a relaxed NdInCu crystal.

Values from the calculation:
Theoretical density = 8248 kg/m³
E_tot = -41.14 eV for the cell shown

```
NdInCu
1.0
7.471 0.000 0.000
-3.736 6.470 0.000
0.000 0.000 4.030
Nd In Cu
3 3 3
Direct
0.000 0.414 0.000
0.414 0.000 0.000
0.586 0.586 0.000
0.000 0.752 0.500
0.248 0.248 0.500
0.752 0.000 0.500
0.000 0.000 0.000
0.333 0.667 0.500
0.667 0.333 0.500
```

***

The following is a DFT calculation (GGA-PBEsol) of a relaxed NdIn2Cu9 crystal.

Values from the calculation:
Theoretical density = 9112 kg/m³
E_tot = -103.76 eV for the cell shown

```
NdIn2Cu9
1.0
8.363 0.000 0.000
0.000 8.363 0.000
0.000 0.000 4.928
Nd In Cu
2 4 18
Direct
0.000 0.000 0.000
0.500 0.500 0.000
0.123 0.377 0.000
0.377 0.877 0.000
0.623 0.123 0.000
0.877 0.623 0.000
0.000 0.500 0.500
0.065 0.206 0.500
0.176 0.676 0.247
0.176 0.676 0.753
0.206 0.935 0.500
0.294 0.435 0.500
0.324 0.176 0.247
0.324 0.176 0.753
0.435 0.706 0.500
0.500 0.000 0.500
0.565 0.294 0.500
0.676 0.824 0.247
0.676 0.824 0.753
0.706 0.565 0.500
0.794 0.065 0.500
0.824 0.324 0.247
0.824 0.324 0.753
0.935 0.794 0.500
```

***

The following is a DFT calculation (GGA-PBEsol) of a relaxed Nd2In3Cu crystal.

Values from the calculation:
Theoretical density = 7885 kg/m³
E_tot = -26.41 eV for the cell shown

```
Nd2In3Cu
1.0
4.726 0.000 0.000
-2.363 4.093 0.000
0.000 0.000 7.583
Nd In Cu
2 3 1
Direct
0.000 0.000 0.000
0.000 0.000 0.463
0.333 0.667 0.786
0.667 0.333 0.242
0.667 0.333 0.679
0.333 0.667 0.182
```

***

The following is a DFT calculation (GGA-PBEsol) of a relaxed InCuNi2 crystal.

Values from the calculation:
Theoretical density = 9614 kg/m³
E_tot = -19.80 eV for the cell shown

```
InCuNi2
1.0
2.861 0.000 0.000
0.000 3.271 0.000
0.000 0.000 5.458
In Cu Ni
1 1 2
Direct
0.000 0.000 0.000
0.000 0.000 0.500
0.500 0.500 0.274
0.500 0.500 0.726
```

***

The following is a DFT calculation (GGA-PBEsol) of a relaxed InCuNi4 crystal.

Values from the calculation:
Theoretical density = 9371 kg/m³
E_tot = -31.84 eV for the cell shown

```
InCuNi4
1.0
0.000 3.320 3.320
3.320 0.000 3.320
3.320 3.320 0.000
In Cu Ni
1 1 4
Direct
0.000 0.000 0.000
0.750 0.750 0.750
0.375 0.375 0.375
0.375 0.375 0.874
0.375 0.874 0.375
0.874 0.375 0.375
```

***

The following is a DFT calculation (GGA-PBEsol) of a relaxed In2CuNi crystal.

Values from the calculation:
Theoretical density = 8793 kg/m³
E_tot = -16.49 eV for the cell shown

```
In2CuNi
1.0
-1.473 2.115 5.330
1.473 -2.115 5.330
1.473 2.115 -5.330
In Cu Ni
2 1 1
Direct
0.000 0.000 0.000
0.723 0.223 0.500
0.402 0.402 0.000
0.211 0.711 0.500
```

***

The following is a DFT calculation (GGA-PBEsol) of a relaxed InCu2Ni crystal.

Values from the calculation:
Theoretical density = 9510 kg/m³
E_tot = -17.93 eV for the cell shown

```
InCu2Ni
1.0
-1.901 1.901 3.631
1.901 -1.901 3.631
1.901 1.901 -3.631
In Cu Ni
1 2 1
Direct
0.000 0.000 0.000
0.500 0.500 0.000
0.750 0.250 0.500
0.250 0.750 0.500
```

***

The following is a DFT calculation (GGA-PBEsol) of a relaxed In3CuNi crystal.

Values from the calculation:
Theoretical density = 6908 kg/m³
E_tot = -16.30 eV for the cell shown

```
In3CuNi
1.0
4.823 0.000 0.000
0.000 4.823 0.000
0.000 0.000 4.823
In Cu Ni
3 1 1
Direct
0.000 0.000 0.500
0.000 0.500 0.000
0.500 0.000 0.000
0.000 0.000 0.000
0.500 0.500 0.500
```

***

The following is a DFT calculation (GGA-PBEsol) of a relaxed InCu2Ni crystal.

Values from the calculation:
Theoretical density = 9498 kg/m³
E_tot = -17.89 eV for the cell shown

```
InCu2Ni
1.0
0.000 2.973 2.973
2.973 0.000 2.973
2.973 2.973 0.000
In Cu Ni
1 2 1
Direct
0.000 0.000 0.000
0.500 0.500 0.500
0.750 0.750 0.750
0.250 0.250 0.250
```

***

The following is a DFT calculation (GGA-PBEsol) of a relaxed InCuNi crystal.

Values from the calculation:
Theoretical density = 8266 kg/m³
E_tot = -12.83 eV for the cell shown

```
InCuNi
1.0
0.000 2.877 2.877
2.877 0.000 2.877
2.877 2.877 0.000
In Cu Ni
1 1 1
Direct
0.000 0.000 0.000
0.250 0.250 0.250
0.500 0.500 0.500
```

***

The following is a DFT calculation (GGA-PBEsol) of a relaxed InCuNi2 crystal.

Values from the calculation:
Theoretical density = 9628 kg/m³
E_tot = -19.80 eV for the cell shown

```
InCuNi2
1.0
-1.865 1.865 3.666
1.865 -1.865 3.666
1.865 1.865 -3.666
In Cu Ni
1 1 2
Direct
0.000 0.000 0.000
0.250 0.750 0.500
0.500 0.500 0.000
0.750 0.250 0.500
```

***

The following is a DFT calculation (GGA-PBEsol) of a relaxed InCu2Ni crystal.

Values from the calculation:
Theoretical density = 9512 kg/m³
E_tot = -17.93 eV for the cell shown

```
InCu2Ni
1.0
3.690 0.000 0.000
0.000 3.690 0.000
0.000 0.000 3.854
In Cu Ni
1 2 1
Direct
0.000 0.000 0.000
0.000 0.500 0.500
0.500 0.000 0.500
0.500 0.500 0.000
```

***

The following is a DFT calculation (GGA-PBEsol) of a relaxed InCuNi2 crystal.

Values from the calculation:
Theoretical density = 9527 kg/m³
E_tot = -19.49 eV for the cell shown

```
InCuNi2
1.0
2.800 0.000 0.000
0.000 3.364 0.000
0.000 0.000 5.473
In Cu Ni
1 1 2
Direct
0.000 0.000 0.000
0.500 0.500 0.708
0.000 0.000 0.495
0.500 0.500 0.265
```